[1]
Entry from Alexandria via LeMat-Bulk: a geometry-optimized TbCeF structure (PBE).

Properties
space group	Pbcm
ΔE_f (raw)	-476	kJ/mol of formula units
size of the total moment	1.17	μB per cell
raw total energy	-5.7884	eV per atom

The structure in POSCAR format:
```
TbCeF
1.0
-3.8590 -2.3650 -2.8670
3.5570 -1.2902 -3.7235
1.6858 -8.1107 4.4216
Ce F Tb
4 4 4
direct
0.9320 0.7500 0.0602 Ce
0.5680 0.2500 0.0602 Ce
0.0680 0.2500 0.9398 Ce
0.4320 0.7500 0.9398 Ce
0.2500 0.5000 0.4999 F
0.2500 0.0000 0.4999 F
0.7500 0.0000 0.5001 F
0.7500 0.5000 0.5001 F
0.0015 0.7500 0.6647 Tb
0.5015 0.7500 0.3353 Tb
0.4985 0.2500 0.6647 Tb
0.9985 0.2500 0.3353 Tb
```

---

[2]
Entry from Alexandria via LeMat-Bulk: a geometry-optimized AlZnPb2 structure (PBE).

Properties
space group	F-43m
size of the total moment	0.00	μB per cell
raw total energy	-2.8415	eV per atom
E_form	1.07	eV/f.u.

The structure in POSCAR format:
```
AlZnPb2
1.0
5.2338 0.0000 0.0000
2.6169 4.5326 0.0000
2.6169 1.5109 4.2734
Pb Al Zn
2 1 1
direct
0.2500 0.2500 0.2500 Pb
0.0000 0.0000 0.0000 Pb
0.5000 0.5000 0.5000 Al
0.7500 0.7500 0.7500 Zn
```

---

[3]
Entry from Alexandria via LeMat-Bulk: a geometry-optimized Ba2YMg structure (PBE).

Properties
space group	Cmmm
size of the total moment	0.00	μB per cell
raw total energy	-2.8042	eV per atom
E_form	0.69	eV/f.u.

The structure in POSCAR format:
```
Ba2YMg
1.0
6.2324 0.0124 -0.0039
-0.0521 6.2322 -0.0039
0.0004 0.0004 4.3448
Ba Mg Y
2 1 1
direct
0.5000 0.5000 0.0000 Ba
0.0000 0.0000 0.0000 Ba
0.5000 0.0000 0.5000 Mg
0.0000 0.5000 0.5000 Y
```

---

[4]
Entry from Alexandria via LeMat-Bulk: a geometry-optimized BaSi2W structure (PBE).

Properties
space group	C2/m
ΔE_f (raw)	334	kJ/mol of formula units
size of the total moment	0.00	μB per cell
raw total energy	-5.5641	eV per atom

The structure in POSCAR format:
```
BaSi2W
1.0
-0.7421 3.0983 6.4613
3.8244 -3.3051 -1.7558
2.2878 1.8701 -0.1615
Si Ba W
2 1 1
direct
0.0000 0.0000 0.0000 Si
0.5000 0.0000 0.5000 Si
0.5000 0.5000 0.0000 Ba
0.0000 0.5000 0.5000 W
```

---

[5]
Entry from Alexandria via LeMat-Bulk: a geometry-optimized CrCoTc2 structure (PBE).

Properties
space group	Cmmm
size of the total moment	0.00	μB per cell
raw total energy	-9.2629	eV per atom
E_form	0.41	eV/f.u.

The structure in POSCAR format:
```
CrCoTc2
1.0
-4.7498 -3.3157 1.1281
2.9110 1.1634 3.2920
-1.9524 1.1680 1.3174
Tc Cr Co
2 1 1
direct
0.5000 0.0000 0.5000 Tc
0.0000 0.0000 0.0000 Tc
0.5000 0.5000 0.0000 Cr
0.0000 0.5000 0.5000 Co
```

---

[6]
Entry from Alexandria via LeMat-Bulk: a geometry-optimized Ac9TbNd2 structure (PBE).

Properties
space group	P4/mmm
size of the total moment	0.00	μB per cell
raw total energy	-4.2365	eV per atom
E_form	0.30	eV/f.u.

The structure in POSCAR format:
```
Ac9TbNd2
1.0
-1.1732 1.6558 5.1302
-5.2879 0.6677 -1.4248
-3.1489 -15.6776 4.3400
Ac Nd Tb
9 2 1
direct
0.5000 0.0000 0.5000 Ac
0.5000 0.0000 0.1653 Ac
0.5000 0.5000 0.0000 Ac
0.5000 0.5000 0.3327 Ac
0.5000 0.0000 0.8347 Ac
0.0000 0.5000 0.5000 Ac
0.5000 0.5000 0.6673 Ac
0.0000 0.5000 0.1653 Ac
0.0000 0.5000 0.8347 Ac
0.0000 0.0000 0.6676 Nd
0.0000 0.0000 0.3324 Nd
0.0000 0.0000 0.0000 Tb
```

---

[7]
Entry from Alexandria via LeMat-Bulk: a geometry-optimized TbPmYEr structure (PBE).

Properties
space group	R3m
size of the total moment	0.00	μB per cell
raw total energy	-5.0868	eV per atom
E_form	0.06	eV/f.u.

The structure in POSCAR format:
```
TbPmYEr
1.0
-2.3494 0.0477 -2.7199
2.5752 -2.5061 0.1074
-6.3278 -6.1702 7.7287
Tb Pm Er Y
1 1 1 1
direct
0.3004 0.5480 0.8646 Tb
0.9720 0.3840 0.3712 Pm
0.4711 0.1335 0.6199 Er
0.1344 0.9654 0.1141 Y
```

---

[8]
Entry from Alexandria via LeMat-Bulk: a geometry-optimized PmDyThN3 structure (PBE).

Properties
space group	P2_1/m
ΔE_f (raw)	-829	kJ/mol of formula units
size of the total moment	0.00	μB per cell
raw total energy	-8.3901	eV per atom

The structure in POSCAR format:
```
PmDyThN3
1.0
-1.1995 -0.3430 -3.3450
3.8743 -4.6768 -0.9098
-7.4565 -4.4093 3.1260
N Th Dy Pm
6 2 2 2
direct
0.7500 0.2431 0.5003 N
0.7500 0.0403 0.1549 N
0.7500 0.5447 0.1651 N
0.2500 0.9597 0.8451 N
0.2500 0.7569 0.4997 N
0.2500 0.4553 0.8349 N
0.7500 0.2347 0.9511 Th
0.2500 0.7653 0.0489 Th
0.2500 0.1501 0.6333 Dy
0.7500 0.8499 0.3667 Dy
0.7500 0.6582 0.6935 Pm
0.2500 0.3418 0.3065 Pm
```

---

[9]
Entry from Alexandria via LeMat-Bulk: a geometry-optimized Pu2Al3V structure (PBE).

Properties
space group	R-3m
size of the total moment	9.18	μB per cell
raw total energy	-8.3647	eV per atom
E_form	-1.18	eV/f.u.

The structure in POSCAR format:
```
Pu2Al3V
1.0
-4.2490 3.2401 0.8836
0.5265 -2.5388 -4.7550
0.2977 -4.8514 2.6237
Pu V Al
2 1 3
direct
0.2645 0.6322 0.8966 Pu
0.7355 0.3678 0.1034 Pu
0.0000 0.0000 0.0000 V
0.5000 0.0000 0.5000 Al
0.0000 0.0000 0.5000 Al
0.5000 0.5000 0.5000 Al
```

---

[10]
Entry from Alexandria via LeMat-Bulk: a geometry-optimized Be3C structure (PBE).

Properties
space group	P4/mmm
size of the total moment	0.00	μB per cell
raw total energy	-4.3020	eV per atom
E_form	3.19	eV/f.u.

The structure in POSCAR format:
```
Be3C
1.0
-0.0249 -1.0173 2.0349
-1.3445 -1.6350 -0.8338
4.8131 -3.1779 -1.5298
Be C
3 1
direct
0.0000 0.0000 0.5000 Be
0.5000 0.5000 0.2062 Be
0.5000 0.5000 0.7938 Be
0.0000 0.0000 0.0000 C
```

---

[11]
Entry from Alexandria via LeMat-Bulk: a geometry-optimized Ag2IO4 structure (PBE).

Properties
space group	P2_1/m
ΔE_f (raw)	-37	kJ/mol of formula units
size of the total moment	0.00	μB per cell
raw total energy	-3.9245	eV per atom

The structure in POSCAR format:
```
Ag2IO4
1.0
5.3371 0.0000 -0.7472
0.0000 5.5412 0.0000
-2.4852 0.0000 8.0684
Ag O I
4 8 2
direct
0.4251 0.7500 0.8323 Ag
0.7972 0.7500 0.5333 Ag
0.5749 0.2500 0.1677 Ag
0.2028 0.2500 0.4667 Ag
0.3756 0.5027 0.3017 O
0.0655 0.2500 0.6694 O
0.8236 0.2500 0.0297 O
0.6244 0.0027 0.6983 O
0.9345 0.7500 0.3306 O
0.3756 0.9973 0.3017 O
0.1764 0.7500 0.9703 O
0.6244 0.4973 0.6983 O
0.1332 0.7500 0.1868 I
0.8668 0.2500 0.8132 I
```

---

[12]
Entry from Alexandria via LeMat-Bulk: a geometry-optimized HgPd3Se structure (PBE).

Properties
space group	Pm-3m
ΔE_f (raw)	471	kJ/mol of formula units
size of the total moment	0.00	μB per cell
raw total energy	-2.8974	eV per atom

The structure in POSCAR format:
```
HgPd3Se
1.0
-1.8763 4.6675 0.0418
-0.9888 -0.4414 4.9128
4.5618 1.8242 1.0820
Pd Hg Se
3 1 1
direct
0.5000 0.0000 0.0000 Pd
0.0000 0.5000 0.0000 Pd
0.0000 0.0000 0.5000 Pd
0.0000 0.0000 0.0000 Hg
0.5000 0.5000 0.5000 Se
```

---

> Which value of raw total energy does entry 9 give?

-8.3647 eV per atom